Here is crystalline MnB3Cl at its relaxed geometry from Alexandria via LeMat-Bulk. Energies are from PBE-GGA.

Summary:
Total moment, μB per atom: 0.0000
Distance to the lowest polymorph of the same formula, kJ per mole of atoms: 109.32
Symmetry: Pm-3m
Formation energy from raw total energies, eV/f.u.: 12.71

a b c (Å): 3.757 3.757 3.757
angles (deg): 90.00 90.00 90.00
Element x y z (fractional)
B 0.000 0.500 0.000
B 0.000 0.000 0.500
Mn 0.500 0.500 0.500
B 0.500 0.000 0.000
Cl 0.000 0.000 0.000

Here is crystalline MnBCl3 at its relaxed geometry from Alexandria via LeMat-Bulk. Energies are from PBE-GGA.

Summary:
Total moment, μB per atom: 1.0042
Distance to the lowest polymorph of the same formula, kJ per mole of atoms: 11.24
Symmetry: Pm-3m
Formation energy from raw total energies, eV/f.u.: 1.90

a b c (Å): 4.477 4.477 4.477
angles (deg): 90.00 90.00 90.00
Last column: magnetic moment on the atom in μB.
Element x y z (fractional)
Cl 0.500 0.000 0.000  0.02
Cl 0.000 0.500 0.000  0.04
Cl 0.000 0.000 0.500  0.02
B 0.000 0.000 0.000  -0.04
Mn 0.500 0.500 0.500  4.50

Here is crystalline Mn2BCl at its relaxed geometry from Alexandria via LeMat-Bulk. Energies are from PBE-GGA.

Summary:
Total moment, μB per atom: 1.6286
Distance to the lowest polymorph of the same formula, kJ per mole of atoms: 0.00
Symmetry: I-42d
Formation energy from raw total energies, eV/f.u.: 1.12

a b c (Å): 5.123 5.123 6.176
angles (deg): 65.50 65.50 90.00
Last column: magnetic moment on the atom in μB.
Element x y z (fractional)
Mn 0.875 0.802 0.750  3.29
Mn 0.552 0.125 0.250  3.30
Cl 0.000 0.000 0.000  0.06
Mn 0.375 0.448 0.750  3.27
Cl 0.750 0.250 0.500  0.06
Mn 0.198 0.625 0.250  3.29
B 0.500 0.500 0.000  -0.33
B 0.250 0.750 0.500  -0.33

Here is crystalline MnB2Cl8 at its relaxed geometry from Alexandria via LeMat-Bulk. Energies are from PBE-GGA.

Summary:
Total moment, μB per atom: 0.4545
Distance to the lowest polymorph of the same formula, kJ per mole of atoms: 1.00
Symmetry: C2/m
Formation energy from raw total energies, eV/f.u.: -10.27

a b c (Å): 5.650 7.400 7.400
angles (deg): 83.39 85.94 85.94
Last column: magnetic moment on the atom in μB.
Element x y z (fractional)
Cl 0.245 0.273 0.965  0.03
Cl 0.765 0.640 0.640  0.01
B 0.648 0.797 0.797  0.01
Cl 0.685 0.194 0.194  0.03
Cl 0.755 0.727 0.035  0.03
Cl 0.755 0.035 0.727  0.03
B 0.352 0.203 0.203  0.01
Cl 0.315 0.806 0.806  0.03
Cl 0.235 0.360 0.360  0.01
Mn 0.000 0.000 0.000  4.43
Cl 0.245 0.965 0.273  0.03

Here is crystalline MnB2Cl8 at its relaxed geometry from Alexandria via LeMat-Bulk. Energies are from PBE-GGA.

Summary:
Total moment, μB per atom: 0.4545
Distance to the lowest polymorph of the same formula, kJ per mole of atoms: 0.00
Symmetry: C2/c
Formation energy from raw total energies, eV/f.u.: -10.39

a b c (Å): 8.895 9.556 9.953
angles (deg): 65.73 63.46 62.26
Last column: magnetic moment on the atom in μB.
Element x y z (fractional)
Cl 0.218 0.217 0.482  0.03
Cl 0.175 0.462 0.625  0.04
B 0.684 0.629 0.547  0.01
Cl 0.548 0.276 0.438  0.01
Mn 0.982 0.750 0.250  4.42
Cl 0.738 0.776 0.938  0.01
Cl 0.263 0.038 0.875  0.04
Mn 0.018 0.250 0.750  4.42
B 0.316 0.371 0.453  0.01
Cl 0.782 0.783 0.518  0.03
Cl 0.737 0.962 0.125  0.04
Cl 0.083 0.717 0.982  0.03
Cl 0.917 0.283 0.018  0.03
Cl 0.711 0.463 0.732  0.03
Cl 0.262 0.224 0.062  0.01
B 0.859 0.871 0.953  0.01
Cl 0.095 0.963 0.232  0.03
B 0.141 0.129 0.047  0.01
Cl 0.825 0.538 0.375  0.04
Cl 0.452 0.724 0.562  0.01
Cl 0.905 0.037 0.768  0.03
Cl 0.289 0.537 0.268  0.03

Here is crystalline MnBPCl2 at its relaxed geometry from Alexandria via LeMat-Bulk. Energies are from PBE-GGA.

Summary:
Total moment, μB per atom: 0.6014
Distance to the lowest polymorph of the same formula, kJ per mole of atoms: 18.92
Symmetry: P4/mmm
Formation energy from raw total energies, eV/f.u.: 4.13

a b c (Å): 4.689 4.689 4.749
angles (deg): 90.00 90.00 90.00
Last column: magnetic moment on the atom in μB.
Element x y z (fractional)
P 0.000 0.000 0.500  -0.37
Cl 0.000 0.500 0.000  0.00
Mn 0.000 0.000 0.000  3.42
B 0.500 0.500 0.500  0.07
Cl 0.500 0.000 0.000  0.00

Here is crystalline MnBPCl2 at its relaxed geometry from Alexandria via LeMat-Bulk. Energies are from PBE-GGA.

Summary:
Total moment, μB per atom: 0.8765
Distance to the lowest polymorph of the same formula, kJ per mole of atoms: 0.00
Symmetry: P4/mmm
Formation energy from raw total energies, eV/f.u.: 3.15

a b c (Å): 4.230 4.230 4.613
angles (deg): 90.00 90.00 90.00
Last column: magnetic moment on the atom in μB.
Element x y z (fractional)
P 0.000 0.000 0.500  -0.18
B 0.000 0.000 0.000  0.00
Cl 0.000 0.500 0.000  0.01
Cl 0.500 0.000 0.000  0.01
Mn 0.500 0.500 0.500  4.35

Here is crystalline Rb2MnBCl6 at its relaxed geometry from Alexandria via LeMat-Bulk. Energies are from PBE-GGA.

Summary:
Total moment, μB per atom: 0.4000
Symmetry: I4/mmm
Formation energy from raw total energies, eV/f.u.: -9.60

a b c (Å): 6.822 6.822 7.230
angles (deg): 61.85 61.85 90.00
Last column: magnetic moment on the atom in μB.
Element x y z (fractional)
Cl 0.782 0.782 0.437  0.02
Mn 0.000 0.000 0.000  4.13
Cl 0.272 0.728 0.000  -0.03
Cl 0.272 0.272 0.000  -0.02
B 0.500 0.500 0.000  -0.20
Cl 0.728 0.728 0.000  -0.02
Rb 0.250 0.750 0.500  0.00
Cl 0.728 0.272 0.000  -0.03
Rb 0.750 0.250 0.500  0.00
Cl 0.218 0.218 0.563  0.02

Here is crystalline MnBS2Cl at its relaxed geometry from Alexandria via LeMat-Bulk. Energies are from PBE-GGA.

Summary:
Total moment, μB per atom: 0.0014
Distance to the lowest polymorph of the same formula, kJ per mole of atoms: 42.07
Symmetry: P4/mmm
Formation energy from raw total energies, eV/f.u.: 4.61

a b c (Å): 4.312 4.312 5.000
angles (deg): 90.00 90.00 90.00
Element x y z (fractional)
Cl 0.000 0.000 0.500
S 0.500 0.000 0.000
B 0.500 0.500 0.500
S 0.000 0.500 0.000
Mn 0.000 0.000 0.000

Here is crystalline MnBS2Cl at its relaxed geometry from Alexandria via LeMat-Bulk. Energies are from PBE-GGA.

Summary:
Total moment, μB per atom: 0.9934
Distance to the lowest polymorph of the same formula, kJ per mole of atoms: 0.00
Symmetry: P4/mmm
Formation energy from raw total energies, eV/f.u.: 2.43

a b c (Å): 4.149 4.149 4.679
angles (deg): 90.00 90.00 90.00
Last column: magnetic moment on the atom in μB.
Element x y z (fractional)
B 0.000 0.000 0.000  -0.01
Mn 0.500 0.500 0.500  -4.43
S 0.000 0.500 0.000  -0.05
S 0.500 0.000 0.000  -0.05
Cl 0.000 0.000 0.500  -0.05

Here is crystalline MnTcBCl2 at its relaxed geometry from Alexandria via LeMat-Bulk. Energies are from PBE-GGA.

Summary:
Total moment, μB per atom: 0.9417
Symmetry: P4/mmm
Formation energy from raw total energies, eV/f.u.: 3.81

a b c (Å): 4.908 4.020 4.908
angles (deg): 90.00 90.00 90.00
Last column: magnetic moment on the atom in μB.
Element x y z (fractional)
Tc 0.000 0.000 0.000  -0.23
Cl 0.000 0.000 0.500  0.03
B 0.000 0.500 0.000  -0.05
Cl 0.500 0.000 0.000  0.03
Mn 0.500 0.500 0.500  4.49

Here is crystalline MnZn2BCl at its relaxed geometry from Alexandria via LeMat-Bulk. Energies are from PBE-GGA.

Summary:
Total moment, μB per atom: 0.0002
Symmetry: P4/mmm
Formation energy from raw total energies, eV/f.u.: 6.37

a b c (Å): 4.837 4.104 4.837
angles (deg): 90.00 90.00 90.00
Element x y z (fractional)
B 0.500 0.500 0.500
Mn 0.000 0.000 0.000
Zn 0.000 0.000 0.500
Zn 0.500 0.000 0.000
Cl 0.000 0.500 0.000